1.
The following is a DFT calculation (PBE) of crystalline BeGaTc at its relaxed geometry.

Structure (CIF):
```
data_BeGaTc
_chemical_formula_sum 'Be1 Ga1 Tc1'
_cell_length_a 4.0498
_cell_length_b 4.0498
_cell_length_c 2.6477
_cell_angle_alpha 90.00
_cell_angle_beta 90.00
_cell_angle_gamma 120.00
_symmetry_space_group_name_H-M 'P -6 m 2'
_symmetry_Int_Tables_number 187
_symmetry_space_group_name_Hall 'P -6 2'
loop_
_atom_site_label
_atom_site_fract_x
_atom_site_fract_y
_atom_site_fract_z
Be1 0.0000 0.0000 0.0000
Ga1 0.6667 0.3333 0.0000
Tc1 0.3333 0.6667 0.5000
```

Calculated values
- Calculated formation energy: -0.10 eV/atom
- E above lowest polymorph: 0.187 eV per atom

---

2.
The following is a DFT calculation (PBE) of crystalline Ba4Mg3Ag2 at its relaxed geometry.

Structure (CIF):
```
data_Ba4Mg3Ag2
_chemical_formula_sum 'Ba8 Mg6 Ag4'
_cell_length_a 18.635
_cell_length_b 4.548
_cell_length_c 8.470
_cell_angle_alpha 90.00
_cell_angle_beta 109.17
_cell_angle_gamma 90.00
_symmetry_space_group_name_H-M 'C 1 2/m 1'
_symmetry_Int_Tables_number 12
loop_
_symmetry_equiv_pos_as_xyz
'x,y,z'
'-x,-y,-z'
'-x,y,-z'
'x,-y,z'
'x+1/2,y+1/2,z'
'-x+1/2,-y+1/2,-z'
'-x+1/2,y+1/2,-z'
'x+1/2,-y+1/2,z'
loop_
_atom_site_label
_atom_site_fract_x
_atom_site_fract_y
_atom_site_fract_z
Ba1 0.077 0.000 0.372
Ba2 0.232 0.500 0.197
Mg1 0.000 0.500 0.000
Mg2 0.093 0.500 0.740
Ag1 0.096 0.000 0.952
```

Calculated values
- Calculated formation energy: -0.13 eV/atom

---

3.
The following is a DFT calculation (PBE) of crystalline CuH6Rh2 at its relaxed geometry.

Structure (CIF):
```
data_CuH6Rh2
_chemical_formula_sum 'Cu1 H6 Rh2'
_cell_length_a 2.761
_cell_length_b 4.744
_cell_length_c 7.067
_cell_angle_alpha 71.06
_cell_angle_beta 78.75
_cell_angle_gamma 73.45
_symmetry_space_group_name_H-M 'P -1'
_symmetry_Int_Tables_number 2
loop_
_symmetry_equiv_pos_as_xyz
'x,y,z'
'-x,-y,-z'
loop_
_atom_site_label
_atom_site_fract_x
_atom_site_fract_y
_atom_site_fract_z
Cu1 0.000 0.000 0.000
H1 0.039 0.195 0.731
H2 0.308 0.771 0.609
H3 0.348 0.220 0.087
Rh1 0.328 0.020 0.324
```

Calculated values
- Final energy: -38.517 eV/cell

---

4.
The following is a DFT calculation (PBE) of crystalline Sm2Al2GaNi5 at its relaxed geometry.

Structure (CIF):
```
data_Sm2Al2GaNi5
_chemical_formula_sum 'Sm4 Al4 Ga2 Ni10'
_cell_length_a 10.269
_cell_length_b 10.269
_cell_length_c 2.971
_cell_angle_alpha 90.00
_cell_angle_beta 90.00
_cell_angle_gamma 90.00
_symmetry_space_group_name_H-M 'P 4/m b m'
_symmetry_Int_Tables_number 127
_symmetry_space_group_name_Hall '-P 4 2ab'
loop_
_atom_site_label
_atom_site_fract_x
_atom_site_fract_y
_atom_site_fract_z
Sm1 0.173 0.327 0.000
Al1 0.128 0.628 0.000
Ga1 0.000 0.000 0.000
Ni1 0.000 0.500 0.500
Ni2 0.055 0.809 0.500
```

Calculated values
- Calculated formation energy: -0.33 eV/atom

---

5.
The following is a DFT calculation (PBE) of crystalline LaTaCu3 at its relaxed geometry.

Structure (CIF):
```
data_LaTaCu3
_chemical_formula_sum 'La1 Ta1 Cu3'
_cell_length_a 4.816
_cell_length_b 4.816
_cell_length_c 4.816
_cell_angle_alpha 90.00
_cell_angle_beta 90.00
_cell_angle_gamma 90.00
_symmetry_space_group_name_H-M 'P m -3 m'
_symmetry_Int_Tables_number 221
_symmetry_space_group_name_Hall '-P 4 2 3'
loop_
_atom_site_label
_atom_site_fract_x
_atom_site_fract_y
_atom_site_fract_z
La1 0.000 0.000 0.000
Ta1 0.500 0.500 0.500
Cu1 0.000 0.500 0.500
```

Calculated values
- Calculated formation energy: 0.62 eV/atom
- E above lowest polymorph: 0.000 eV per atom

---

6.
The following is a DFT calculation (PBE) of crystalline CsZnInHg2 at its relaxed geometry.

Structure (CIF):
```
data_CsZnInHg2
_chemical_formula_sum 'Cs1 Zn1 In1 Hg2'
_cell_length_a 5.596
_cell_length_b 5.596
_cell_length_c 5.379
_cell_angle_alpha 90.00
_cell_angle_beta 90.00
_cell_angle_gamma 90.00
_symmetry_space_group_name_H-M 'P 4/m m m'
_symmetry_Int_Tables_number 123
_symmetry_space_group_name_Hall '-P 4 2'
loop_
_atom_site_label
_atom_site_fract_x
_atom_site_fract_y
_atom_site_fract_z
Cs1 0.000 0.000 0.000
Zn1 0.500 0.500 0.500
In1 0.500 0.500 0.000
Hg1 0.000 0.500 0.500
```

Calculated values
- Calculated formation energy: -0.04 eV/atom
- E above lowest polymorph: 0.000 eV per atom

---

7.
The following is a DFT calculation (PBE) of crystalline Tb2Cu3Ge4Pd at its relaxed geometry.

Structure (CIF):
```
data_Tb2Cu3Ge4Pd
_chemical_formula_sum 'Tb2 Cu3 Ge4 Pd1'
_cell_length_a 4.151
_cell_length_b 4.151
_cell_length_c 10.207
_cell_angle_alpha 90.00
_cell_angle_beta 90.00
_cell_angle_gamma 90.00
_symmetry_space_group_name_H-M 'P -4 m 2'
_symmetry_Int_Tables_number 115
loop_
_symmetry_equiv_pos_as_xyz
'x,y,z'
'y,-x,-z'
'-x,-y,z'
'-y,x,-z'
'-x,y,z'
'-y,-x,-z'
'x,-y,z'
'y,x,-z'
loop_
_atom_site_label
_atom_site_fract_x
_atom_site_fract_y
_atom_site_fract_z
Tb1 0.000 0.500 0.250
Cu1 0.000 0.000 0.000
Cu2 0.000 0.500 0.632
Ge1 0.000 0.000 0.500
Ge2 0.000 0.500 0.863
Ge3 0.500 0.500 0.500
Pd1 0.500 0.500 0.000
```

Calculated values
- Calculated formation energy: -0.55 eV/atom

---

8.
The following is a DFT calculation (PBE) of crystalline Pu4MgInN8 at its relaxed geometry.

Structure (CIF):
```
data_Pu4MgInN8
_chemical_formula_sum 'Pu12 Mg3 In3 N24'
_cell_length_a 6.8619
_cell_length_b 6.8619
_cell_length_c 15.2634
_cell_angle_alpha 90.00
_cell_angle_beta 90.00
_cell_angle_gamma 120.00
_symmetry_space_group_name_H-M 'R 3 m'
_symmetry_Int_Tables_number 160
_symmetry_space_group_name_Hall 'R 3 -2"'
loop_
_atom_site_label
_atom_site_fract_x
_atom_site_fract_y
_atom_site_fract_z
Pu1 0.0000 0.0000 0.0000
Pu2 0.0015 0.5008 0.8888
Mg1 0.0000 0.0000 0.3894
In1 0.0000 0.0000 0.7706
N1 0.0000 0.0000 0.1479
N2 0.0000 0.0000 0.6272
N3 0.0288 0.5144 0.1509
N4 0.1858 0.3716 0.9644
```

Calculated values
- Final energy: -414.474 eV/cell

---

| no. | volume (Å³/atom) | calculated density (g/cm3) |
| --- | --- | --- |
| 1 | 12.535 | 7.8 |
| 2 | 37.671 | 4.1 |
| 3 | 9.266 | 5.5 |
| 4 | 15.668 | 7.6 |
| 5 | 22.339 | 7.6 |
| 6 | 33.692 | 7.0 |
| 7 | 17.588 | 8.5 |
| 8 | 14.819 | 9.8 |